{
  "formula": "Li3B2O4",
  "functional": "PBE",
  "state": "optimized geometry",
  "energy_ev_per_atom": -6.029,
  "formation_energy_uncorrected_ev_per_atom": -1.703,
  "lattice_angstrom": [[-1.698, 0.577, -2.619], [-1.397, -4.453, 1.848], [-1.585, 6.182, 2.389]],
  "species": ["B", "B", "O", "O", "O", "O", "Li", "Li", "Li"],
  "fractional_positions": [[0.284, 0.567, 0.643], [0.716, 0.433, 0.357], [0.290, 0.580, 0.848], [0.879, 0.758, 0.627], [0.710, 0.420, 0.152], [0.121, 0.242, 0.373], [0.000, 0.000, 0.000], [0.625, 0.249, 0.798], [0.375, 0.751, 0.202]]
}